Below is a relaxed structure of FeP2Os, with properties calculated at the PBE level.

Calculated values
DOS at the Fermi energy = 0.635 states/eV per atom
E = -61.31 eV/cell
ΔE to the lowest computed polymorph = 0.86 eV per formula unit
Volume = 133.3 Å³ per cell

Cell: 5.106 5.106 6.259 Å, 65.93 65.93 90.00°
Atoms (fractional coordinates):
1 P 0.608 0.125 0.250
2 P 0.142 0.625 0.250
3 P 0.375 0.392 0.750
4 P 0.875 0.858 0.750
5 Os 0.000 0.000 0.000
6 Os 0.750 0.250 0.500
7 Fe 0.500 0.500 0.000
8 Fe 0.250 0.750 0.500